Record 1
The following is a PBE-GGA calculation of Er2ZrHg after structural relaxation, from Alexandria via LeMat-Bulk.

Computed properties:
Its distance to the lowest polymorph of the same formula is 0.000 kcal/mol of atoms. For the total energy, the calculation gives -4.7114 eV per atom.

The structure in POSCAR format:
```
Er2ZrHg
1.0
3.4543 0.0000 0.0000
0.0000 3.4543 0.0000
0.0000 0.0000 8.6636
Er Zr Hg
2 1 1
direct
0.0000 0.0000 0.2402 Er
0.0000 0.0000 0.7598 Er
0.5000 0.5000 0.5000 Zr
0.5000 0.5000 0.0000 Hg
```

Record 2
The following is a PBE-GGA calculation of Er2ZrHg after structural relaxation, from Alexandria via LeMat-Bulk.

Computed properties:
Its distance to the lowest polymorph of the same formula is 9.559 kcal/mol of atoms. For the total energy, the calculation gives -4.2969 eV per atom.

The structure in POSCAR format:
```
Er2ZrHg
1.0
3.3072 0.0000 0.0000
-1.6536 2.8642 0.0000
0.0000 0.0000 34.2142
Er Zr Hg
6 3 3
direct
0.0000 0.0000 0.0924 Er
0.0000 0.0000 0.9076 Er
0.3333 0.6667 0.5742 Er
0.3333 0.6667 0.7591 Er
0.6667 0.3333 0.2409 Er
0.6667 0.3333 0.4258 Er
0.0000 0.0000 0.0000 Zr
0.3333 0.6667 0.6667 Zr
0.6667 0.3333 0.3333 Zr
0.0000 0.0000 0.5000 Hg
0.3333 0.6667 0.1667 Hg
0.6667 0.3333 0.8333 Hg
```

Record 3
The following is a PBE-GGA calculation of ErZrHg2 after structural relaxation, from Alexandria via LeMat-Bulk.

Computed properties:
Its distance to the lowest polymorph of the same formula is 0.000 kcal/mol of atoms. For the total energy, the calculation gives -3.7073 eV per atom.

The structure in POSCAR format:
```
ErZrHg2
1.0
3.6142 0.0000 0.0000
0.0000 3.6142 0.0000
0.0000 0.0000 7.1614
Er Zr Hg
1 1 2
direct
0.0000 0.0000 0.0000 Er
0.0000 0.0000 0.5000 Zr
0.5000 0.5000 0.2595 Hg
0.5000 0.5000 0.7405 Hg
```

Number 1: DOS at the Fermi energy 4.06 states/eV per cell. Number 2: DOS at the Fermi energy 16.27 states/eV per cell. Number 3: DOS at the Fermi energy 3.96 states/eV per cell.